Record 1
Below is a geometry-optimized Cs3HgAu3 structure, with properties calculated at the GGA-PBE level.

ΔE to the lowest computed polymorph	0	meV/atom
space group	C2/m (12)
DFT total energy	-29.7	eV per cell

Cell and atoms, written as extended XYZ:
```
14
Lattice="6.3769 -2.6037 0.0000 6.3769 2.6037 0.0000 -6.2624 0.0000 16.3273" Properties=species:S:1:pos:R:3 pbc="T T T"
Cs -1.4456 0.0000 4.3169
Cs -1.3209 0.0000 9.3942
Cs -1.0758 0.0000 14.4149
Cs 7.5672 0.0000 1.9125
Cs 7.8123 0.0000 6.9331
Cs 7.9370 0.0000 12.0104
Hg 3.8142 0.0000 1.6133
Hg 2.6772 0.0000 14.7141
Au -4.8859 0.0000 15.7896
Au 2.3841 0.0000 4.3978
Au 2.4761 0.0000 9.4431
Au 4.0153 0.0000 6.8842
Au 4.1072 0.0000 11.9295
Au 11.3772 0.0000 0.5377
```

=====

Record 2
Below is a geometry-optimized Cs3HgAu4 structure, with properties calculated at the GGA-PBE level.

space group	Immm (71)
DFT total energy	-17.8	eV per cell

Cell and atoms, written as extended XYZ:
```
8
Lattice="-2.8049 3.6088 8.2306 2.8049 -3.6088 8.2306 2.8049 3.6088 -8.2306" Properties=species:S:1:pos:R:3 pbc="T T T"
Cs 0.0000 0.0000 0.0000
Cs 2.8049 0.0000 5.1938
Cs 0.0000 3.6088 3.0367
Hg 0.0000 0.0000 8.2306
Au 2.8049 1.3725 -1.7105
Au 2.8049 1.3725 1.7105
Au 0.0000 2.2363 6.5201
Au 0.0000 2.2363 9.9411
```

=====

Record 3
Below is a geometry-optimized Cs3Hg12Au5 structure, with properties calculated at the GGA-PBE level.

space group	Ia-3d (230)
DFT total energy	-96.0	eV per cell

Cell and atoms, written as extended XYZ:
```
80
Lattice="-9.2125 9.2125 9.2125 9.2125 -9.2125 9.2125 9.2125 9.2125 -9.2125" Properties=species:S:1:pos:R:3 pbc="T T T"
Cs 4.6062 2.3031 0.0000
Cs 9.2125 4.6062 -2.3031
Cs 2.3031 0.0000 4.6062
Cs 11.5156 0.0000 4.6062
Cs 0.0000 4.6062 2.3031
Cs 4.6062 -2.3031 9.2125
Cs 4.6062 11.5156 0.0000
Cs 9.2125 4.6062 6.9094
Cs -2.3031 9.2125 4.6062
Cs 6.9094 9.2125 4.6062
Cs 0.0000 4.6062 11.5156
Cs 4.6062 6.9094 9.2125
Hg 6.8358 -5.6828 5.9478
Hg 16.1954 1.3415 -1.0766
Hg 12.7422 3.2647 -2.3767
Hg 10.2890 -6.9829 7.8710
Hg 5.9478 6.8358 -5.6828
Hg 7.8710 -1.0766 2.2296
Hg 11.4420 1.3415 1.0766
Hg 11.5892 -3.5297 5.9478
Hg 7.8710 10.2890 -6.9829
Hg 5.9478 -2.3767 5.6828
Hg 5.6828 5.9478 -2.3767
Hg 8.1359 2.2296 1.3415
Hg 8.1359 -2.2296 7.8710
Hg 14.8953 3.2647 2.3767
Hg 7.8710 8.1359 -2.2296
Hg 5.9478 2.3767 3.5297
Hg 2.2296 7.8710 -1.0766
Hg 11.5892 3.5297 3.2647
Hg 5.9478 11.5892 -3.5297
Hg 7.8710 1.0766 6.9829
Hg 3.5297 5.9478 2.3767
Hg 10.2890 6.9829 1.3415
Hg 6.9829 7.8710 1.0766
Hg 6.8358 5.6828 3.2647
Hg 2.3767 3.5297 5.9478
Hg 2.2296 1.3415 8.1359
Hg -1.0766 2.2296 7.8710
Hg 5.6828 3.2647 6.8358
Hg 1.3415 8.1359 2.2296
Hg 3.2647 -2.3767 12.7422
Hg -2.3767 5.6828 5.9478
Hg 6.9829 1.3415 10.2890
Hg 3.2647 6.8358 5.6828
Hg 1.3415 1.0766 11.4420
Hg -5.6828 5.9478 6.8358
Hg 1.0766 11.4420 1.3415
Hg 1.0766 6.9829 7.8710
Hg 3.5297 3.2647 11.5892
Hg 3.2647 11.5892 3.5297
Hg 1.3415 -1.0766 16.1954
Hg -2.3767 12.7422 3.2647
Hg -2.2296 7.8710 8.1359
Hg 1.3415 10.2890 6.9829
Hg 3.2647 2.3767 14.8953
Hg -1.0766 16.1954 1.3415
Hg -3.5297 5.9478 11.5892
Hg -6.9829 7.8710 10.2890
Hg 2.3767 14.8953 3.2647
Au 0.0000 0.0000 0.0000
Au 4.6062 4.6062 -4.6062
Au 4.6062 -4.6062 4.6062
Au 9.2125 0.0000 0.0000
Au 13.8187 2.3031 0.0000
Au 9.2125 -4.6062 6.9094
Au 6.9094 9.2125 -4.6062
Au 6.9094 0.0000 4.6062
Au 4.6062 6.9094 0.0000
Au 9.2125 4.6062 2.3031
Au -4.6062 4.6062 4.6062
Au 0.0000 9.2125 0.0000
Au 0.0000 0.0000 9.2125
Au 4.6062 4.6062 4.6062
Au 0.0000 4.6062 6.9094
Au 4.6062 2.3031 9.2125
Au 2.3031 9.2125 4.6062
Au 2.3031 0.0000 13.8187
Au 0.0000 13.8187 2.3031
Au -4.6062 6.9094 9.2125
```

=====

| no. | total magnetization (μB/f.u.) | calculated formation energy (kJ/mol of formula units) |
| --- | --- | --- |
| 1 | 0.000 | -210 |
| 2 | 0.000 | -181 |
| 3 | 0.000 | -139 |